Density functional theory data (PBE) for a relaxed structure of HoScBi2.

It has space group R3m (No. 160, hexagonal axes), with a = 4.3350 Å, b = 4.3350 Å, c = 22.2713 Å, α = 90.00°, β = 90.00° and γ = 120.00°. The asymmetric unit holds Ho at (0.0000, 0.0000, 0.0000), Sc at (0.0000, 0.0000, 0.1700), Bi at (0.0000, 0.0000, 0.4206) and Bi at (0.0000, 0.0000, 0.5828).

Its total moment is 0.00 μB per cell. The value obtained for the energy above the most stable polymorph in this dataset is 0.39 eV/f.u. The value obtained for the energy of formation from the pure elements is -0.648 eV per atom.